NaTi2Co: optimized geometry, PBE.

Cell: 6.275 6.275 6.275 Å, 90.00 90.00 90.00°
Space group Fm-3m (No. 225)
Inequivalent atoms, fractional coordinates:
1 Na 0.000 0.000 0.000 [4 per cell]
2 Ti 0.250 0.250 0.250 [8 per cell]
3 Co 0.000 0.000 0.500 [4 per cell]

Results
Fermi-level density of states	9.807	states/eV/cell
energy relative to the lowest polymorph listed for this composition	0	meV per atom
formation enthalpy at 0 K	448	meV per atom
spin magnetization	0.000	μB per formula unit

---

NaTi3Co: optimized geometry, PBE.

Cell: 4.557 4.557 4.557 Å, 90.00 90.00 90.00°
Space group Pm-3m (No. 221)
Inequivalent atoms, fractional coordinates:
1 Na 0.000 0.000 0.000 [1 per cell]
2 Ti 0.000 0.000 0.500 [3 per cell]
3 Co 0.500 0.500 0.500 [1 per cell]

Results
Fermi-level density of states	5.570	states/eV/cell
energy relative to the lowest polymorph listed for this composition	1514	meV per atom
formation enthalpy at 0 K	1966	meV per atom
spin magnetization	0.001	μB per formula unit